1.
## AgSn6Au (PBE)

Data for a relaxed AgSn6Au crystal.

Lattice parameters (Å, degrees): 6.1679 6.3713 6.3783 67.38 68.24 68.24
Last column: nearest neighbours and their distance in Å.
Space group P-1 (No. 2)
Asymmetric unit:
Ag  0.0000  0.0000  0.0000 [1 per cell]  6 Sn 2.87-2.89
Sn  0.0110  0.4821  0.7475 [2 per cell]  1 Au 2.86, 1 Ag 2.88, 1 Sn 3.13
Sn  0.2521  0.9682  0.5291 [2 per cell]  1 Au 2.85, 1 Ag 2.87, 2 Sn 3.10-3.13
Sn  0.4922  0.7478  0.0217 [2 per cell]  1 Au 2.86, 1 Ag 2.89, 1 Sn 3.15
Au  0.5000  0.5000  0.5000 [1 per cell]  6 Sn 2.85-2.86

- DFT formation energy: 0.004 eV per atom
- M_tot: 0.00 μB/cell
- Calculated total energy: -3.764 eV/atom
- Energy relative to the lowest polymorph listed for this composition: 0 meV/atom

2.
## Mg4Al2Ga5 (PBE)

Data for a relaxed Mg4Al2Ga5 crystal.

Lattice parameters (Å, degrees): 7.2814 3.1539 9.1717 90.00 94.46 90.00
Last column: nearest neighbours and their distance in Å.
Space group P2/m (No. 10)
Asymmetric unit:
Mg  0.1732  0.0000  0.3991 [2 per cell]  8 Ga 2.91-3.13, 2 Al 2.93, 3 Mg 3.15-3.24
Mg  0.2887  0.0000  0.9391 [2 per cell]  6 Ga 2.96-3.02, 4 Al 2.99-3.04, 3 Mg 3.15-3.19
Al  0.0633  0.5000  0.1373 [2 per cell]  1 Al 2.61, 2 Ga 2.69-2.71
Ga  0.1930  0.5000  0.6665 [2 per cell]  1 Al 2.69, 2 Ga 2.80-2.89, 4 Mg 2.91-2.99
Ga  0.4328  0.5000  0.2040 [2 per cell]  1 Al 2.71, 2 Ga 2.72-2.89, 4 Mg 2.96-3.02
Ga  0.5000  0.5000  0.5000 [1 per cell]  4 Ga 2.72-2.80, 4 Mg 2.94

- DFT formation energy: -0.067 eV per atom
- M_tot: 0.00 μB/cell
- Calculated total energy: -2.703 eV/atom

3.
## MgMn3P2 (PBE)

Data for a relaxed MgMn3P2 crystal.

Lattice parameters (Å, degrees): 15.2748 3.5997 9.1899 90.00 107.13 90.00
Last column: nearest neighbours and their distance in Å.
Space group C2/m (No. 12)
Asymmetric unit:
Mg  0.0000  0.0000  0.0000 [2 per cell]  6 Mn 2.84-2.99, 6 P 2.86-2.93
Mg  0.1577  0.0000  0.7019 [4 per cell]  6 P 2.76-2.88, 5 Mn 2.94-3.00
Mn  0.0000  0.5000  0.5000 [2 per cell]  2 P 2.27, 4 Mn 2.53
Mn  0.0408  0.0000  0.3384 [4 per cell]  4 P 2.32-2.43, 3 Mn 2.52-2.53
Mn  0.1183  0.5000  0.2049 [4 per cell]  4 P 2.33-2.49, 1 Mn 2.60
Mn  0.1831  0.5000  0.9728 [4 per cell]  4 P 2.30-2.32
Mn  0.2124  0.0000  0.3938 [4 per cell]  4 P 2.22-2.30
P  0.0434  0.5000  0.7889 [4 per cell]  5 Mn 2.30-2.54
P  0.1413  0.5000  0.4670 [4 per cell]  7 Mn 2.22-2.43
P  0.1994  0.0000  0.1378 [4 per cell]  6 Mn 2.30-2.37

- DFT formation energy: -0.423 eV per atom
- M_tot: 34.83 μB/cell
- Calculated total energy: -7.077 eV/atom

4.
## Re4TcTe (PBE)

Data for a relaxed Re4TcTe crystal.

Lattice parameters (Å, degrees): 7.4165 7.4165 7.4165 90.00 90.00 90.00
Last column: nearest neighbours and their distance in Å.
Space group F-43m (No. 216)
Asymmetric unit:
Re  0.1250  0.1250  0.1250 [16 per cell]  6 Re 2.62
Tc  0.2500  0.2500  0.7500 [4 per cell]  12 Re 3.07, 4 Te 3.21
Te  0.0000  0.0000  0.5000 [4 per cell]  12 Re 3.07, 4 Tc 3.21

- M_tot: 0.00 μB/cell
- Calculated total energy: -9.735 eV/atom